Entry from Alexandria: an optimized crystal structure of Li3Cd4Ag2Hg2 (PBE).

Output
Crystal system: trigonal
ρ in g/cm3: 8.12
Formation enthalpy at 0 K in eV/atom: -0.166
Fermi-level density of states in states/eV/cell: 3.9

a = 4.7253 Å, b = 4.7253 Å, c = 11.5057 Å
α = 90.00°, β = 90.00°, γ = 120.00°
Fractional positions:
1 Ag 0.3333 0.6667 0.5603
2 Cd 0.6667 0.3333 0.6822
3 Ag 0.6667 0.3333 0.4397
4 Cd 0.3333 0.6667 0.8074
5 Hg 0.6667 0.3333 0.9333
6 Hg 0.3333 0.6667 0.0667
7 Cd 0.3333 0.6667 0.3178
8 Li 0.0000 0.0000 0.0000
9 Li 0.0000 0.0000 0.3754
10 Cd 0.6667 0.3333 0.1926
11 Li 0.0000 0.0000 0.6246